Record 1
## KAgBr (PBE)

Data for KAgBr after structural relaxation.

Output
- Symmetry: Imm2, No. 44
- V: 30.84 Å³ per atom
- Magnetic moment: 0.00 μB/atom
- E_form (uncorrected): -0.428 eV per atom
- Fermi-level density of states: 1.57 states/eV/f.u.

Cell: 3.7632 3.9079 12.5829 Å, 90.00 90.00 90.00°
Positions (direct):
K: 0.0000 0.0000 0.0000
K: 0.5000 0.5000 0.5000
Ag: 0.0000 0.0000 0.7067
Ag: 0.5000 0.5000 0.2067
Br: 0.0000 0.0000 0.3490
Br: 0.5000 0.5000 0.8490

---

Record 2
## K2Ag2Br7 (PBE)

Data for K2Ag2Br7 after structural relaxation.

Output
- Symmetry: C2/m, No. 12
- V: 41.05 Å³ per atom
- Magnetic moment: 0.00 μB/atom
- E_form (uncorrected): -0.667 eV per atom
- Fermi-level density of states: 6.33 states/eV/f.u.

Cell: 7.4113 7.4113 8.3521 Å, 95.69 95.69 95.61°
Positions (direct):
K: 0.2365 0.7635 0.0000
K: 0.7635 0.2365 0.0000
Ag: 0.2642 0.2642 0.3171
Ag: 0.7358 0.7358 0.6829
Br: 0.0061 0.0061 0.2483
Br: 0.0569 0.5088 0.2689
Br: 0.4912 0.9431 0.7311
Br: 0.5000 0.5000 0.5000
Br: 0.5088 0.0569 0.2689
Br: 0.9431 0.4912 0.7311
Br: 0.9939 0.9939 0.7517

---

Record 3
## KAg3Br4 (PBE)

Data for KAg3Br4 after structural relaxation.

Output
- Symmetry: Amm2, No. 38
- V: 35.04 Å³ per atom
- Magnetic moment: 0.00 μB/atom
- E_form (uncorrected): -0.662 eV per atom
- Fermi-level density of states: 0.00 states/eV/f.u.

Cell: 4.5002 10.8585 11.4728 Å, 90.00 90.00 90.00°
Positions (direct):
K: 0.0000 0.0000 0.0000
K: 0.0000 0.5000 0.5000
Ag: 0.0000 0.0000 0.3428
Ag: 0.0000 0.5000 0.8428
Ag: 0.5000 0.1425 0.6111
Ag: 0.5000 0.3575 0.1111
Ag: 0.5000 0.6425 0.1111
Ag: 0.5000 0.8575 0.6111
Br: 0.0000 0.1970 0.4983
Br: 0.0000 0.3030 0.9983
Br: 0.0000 0.6970 0.9983
Br: 0.0000 0.8030 0.4983
Br: 0.5000 0.0000 0.2119
Br: 0.5000 0.0000 0.7968
Br: 0.5000 0.5000 0.2968
Br: 0.5000 0.5000 0.7119

---

Record 4
## K2AgBr3 (PBE)

Data for K2AgBr3 after structural relaxation.

Output
- Symmetry: Pnma, No. 62
- V: 33.61 Å³ per atom
- Magnetic moment: 0.00 μB/atom
- E_form (uncorrected): -1.281 eV per atom
- Fermi-level density of states: 0.00 states/eV/f.u.

Cell: 9.5302 4.5776 18.4892 Å, 90.00 90.00 90.00°
Positions (direct):
K: 0.0794 0.2500 0.2152
K: 0.2413 0.2500 0.9603
K: 0.2587 0.7500 0.4603
K: 0.4206 0.7500 0.7152
K: 0.5794 0.2500 0.2848
K: 0.7413 0.2500 0.5397
K: 0.7587 0.7500 0.0397
K: 0.9206 0.7500 0.7848
Ag: 0.1229 0.2500 0.6331
Ag: 0.3771 0.7500 0.1331
Ag: 0.6229 0.2500 0.8669
Ag: 0.8771 0.7500 0.3669
Br: 0.0174 0.2500 0.4028
Br: 0.1193 0.7500 0.0719
Br: 0.1843 0.2500 0.7771
Br: 0.3157 0.7500 0.2771
Br: 0.3807 0.2500 0.5719
Br: 0.4826 0.7500 0.9028
Br: 0.5174 0.2500 0.0972
Br: 0.6193 0.7500 0.4281
Br: 0.6843 0.2500 0.7229
Br: 0.8157 0.7500 0.2229
Br: 0.8807 0.2500 0.9281
Br: 0.9826 0.7500 0.5972

---

Record 5
## KAgBr3 (PBE)

Data for KAgBr3 after structural relaxation.

Output
- Symmetry: P1, No. 1
- V: 37.53 Å³ per atom
- Magnetic moment: 0.00 μB/atom
- E_form (uncorrected): -0.826 eV per atom
- Fermi-level density of states: 0.00 states/eV/f.u.

Cell: 5.6093 8.2316 8.6999 Å, 84.71 73.80 76.71°
Positions (direct):
K: 0.0000 0.0000 0.0000
K: 0.2323 0.5520 0.3727
Ag: 0.0124 0.4757 0.9332
Ag: 0.5701 0.4178 0.8471
Br: 0.0514 0.0053 0.3755
Br: 0.0664 0.2918 0.6962
Br: 0.3538 0.7029 0.7318
Br: 0.4034 0.2293 0.0960
Br: 0.7267 0.8661 0.5551
Br: 0.7805 0.6617 0.1684

---

Record 6
## KAg2Br (PBE)

Data for KAg2Br after structural relaxation.

Output
- Symmetry: P4/mmm, No. 123
- V: 30.07 Å³ per atom
- Magnetic moment: 0.00 μB/atom
- E_form (uncorrected): -0.136 eV per atom
- Fermi-level density of states: 1.01 states/eV/f.u.

Cell: 4.4584 4.4584 6.0505 Å, 90.00 90.00 90.00°
Positions (direct):
K: 0.0000 0.0000 0.0000
Ag: 0.5000 0.5000 0.2260
Ag: 0.5000 0.5000 0.7740
Br: 0.0000 0.0000 0.5000

---

Record 7
## KAg3Br (PBE)

Data for KAg3Br after structural relaxation.

Output
- Symmetry: Pm-3m, No. 221
- V: 33.21 Å³ per atom
- Magnetic moment: 0.00 μB/atom
- E_form (uncorrected): 0.444 eV per atom
- Fermi-level density of states: 7.73 states/eV/f.u.

Cell: 5.4963 5.4963 5.4963 Å, 90.00 90.00 90.00°
Positions (direct):
K: 0.0000 0.0000 0.0000
Ag: 0.0000 0.5000 0.5000
Ag: 0.5000 0.0000 0.5000
Ag: 0.5000 0.5000 0.0000
Br: 0.5000 0.5000 0.5000

---

Record 8
## KAg2Br3 (PBE)

Data for KAg2Br3 after structural relaxation.

Output
- Symmetry: Pmmn, No. 59
- V: 30.60 Å³ per atom
- Magnetic moment: 0.00 μB/atom
- E_form (uncorrected): -0.788 eV per atom
- Fermi-level density of states: 0.00 states/eV/f.u.

Cell: 6.1497 13.2660 4.5009 Å, 90.00 90.00 90.00°
Positions (direct):
K: 0.2500 0.2500 0.2491
K: 0.7500 0.7500 0.7509
Ag: 0.2500 0.5646 0.2479
Ag: 0.2500 0.9354 0.2479
Ag: 0.7500 0.0646 0.7521
Ag: 0.7500 0.4354 0.7521
Br: 0.2500 0.0577 0.7691
Br: 0.2500 0.4423 0.7691
Br: 0.2500 0.7500 0.4822
Br: 0.7500 0.2500 0.5178
Br: 0.7500 0.5577 0.2309
Br: 0.7500 0.9423 0.2309

---

Record 9
## KAg2Br (PBE)

Data for KAg2Br after structural relaxation.

Output
- Symmetry: Imm2, No. 44
- V: 31.13 Å³ per atom
- Magnetic moment: 0.00 μB/atom
- E_form (uncorrected): -0.227 eV per atom

Cell: 4.3205 6.5437 8.8085 Å, 90.00 90.00 90.00°
Positions (direct):
K: 0.0000 0.0000 0.0000
K: 0.5000 0.5000 0.5000
Ag: 0.0000 0.0000 0.5021
Ag: 0.0000 0.5000 0.8148
Ag: 0.5000 0.0000 0.3148
Ag: 0.5000 0.5000 0.0021
Br: 0.0000 0.5000 0.2149
Br: 0.5000 0.0000 0.7149

---

Record 10
## KAgBr6 (PBE)

Data for KAgBr6 after structural relaxation.

Output
- Symmetry: R-3m, No. 166
- V: 31.78 Å³ per atom
- Magnetic moment: 0.00 μB/atom
- E_form (uncorrected): -0.381 eV per atom
- Fermi-level density of states: 3.85 states/eV/f.u.

Cell: 6.7684 6.7684 6.7684 Å, 107.55 107.55 107.55°
Positions (direct):
K: 0.0000 0.0000 0.0000
Ag: 0.5000 0.5000 0.5000
Br: 0.1910 0.1910 0.5649
Br: 0.1910 0.5649 0.1910
Br: 0.4351 0.8090 0.8090
Br: 0.5649 0.1910 0.1910
Br: 0.8090 0.4351 0.8090
Br: 0.8090 0.8090 0.4351

---

| no. | final energy (eV per formula unit) |
| --- | --- |
| 1 | -6.9 |
| 2 | -26.9 |
| 3 | -21.6 |
| 4 | -17.8 |
| 5 | -13.1 |
| 6 | -9.0 |
| 7 | -9.1 |
| 8 | -16.5 |
| 9 | -9.4 |
| 10 | -17.0 |